Entry 1:
Na2HgPtC | PBE | optimized geometry

Cell lengths 5.259, 3.826, 5.259 Å; angles 90.00, 90.00, 90.00 degrees
Atoms (fractional coordinates):
Na  0.000  0.000  0.500
Na  0.500  0.000  0.000
C  0.000  0.000  0.000
Hg  0.500  0.500  0.500
Pt  0.000  0.500  0.000

Output
Its formation energy is 0.0513 eV per atom.

Entry 2:
NaSc2HgC | PBE | optimized geometry

Cell lengths 4.485, 4.485, 4.955 Å; angles 90.00, 90.00, 90.00 degrees
Atoms (fractional coordinates):
Sc  0.000  0.500  0.000
Sc  0.500  0.000  0.000
Na  0.000  0.000  0.500
C  0.000  0.000  0.000
Hg  0.500  0.500  0.500

Output
Its formation energy is -0.1221 eV per atom.

Entry 3:
NaHgC2Se | PBE | optimized geometry

Cell lengths 4.294, 5.781, 4.294 Å; angles 90.00, 90.00, 90.00 degrees
Atoms (fractional coordinates):
Na  0.000  0.500  0.000
C  0.000  0.000  0.500
C  0.500  0.000  0.000
Hg  0.000  0.000  0.000
Se  0.500  0.500  0.500

Output
The formation energy from raw total energies is 2.148 eV per atom.

Entry 4:
Na2SrHgC | PBE | optimized geometry

Cell lengths 5.933, 4.168, 5.933 Å; angles 90.00, 90.00, 90.00 degrees
Atoms (fractional coordinates):
Sr  0.500  0.500  0.500
C  0.000  0.500  0.000
Hg  0.000  0.000  0.000
Na  0.000  0.000  0.500
Na  0.500  0.000  0.000

Output
Its formation energy is 0.8614 eV per atom.

Entry 5:
Na2TaHgC | PBE | optimized geometry

Cell lengths 5.263, 4.064, 5.263 Å; angles 90.00, 90.00, 90.00 degrees
Atoms (fractional coordinates):
Na  0.000  0.000  0.500
Na  0.500  0.000  0.000
C  0.000  0.000  0.000
Hg  0.000  0.500  0.000
Ta  0.500  0.500  0.500

Output
Its formation energy is 1.6766 eV per atom.

Entry 6:
NaHgTeC2 | PBE | optimized geometry

Cell lengths 4.575, 6.105, 4.575 Å; angles 90.00, 90.00, 90.00 degrees
Atoms (fractional coordinates):
Na  0.000  0.000  0.000
C  0.000  0.000  0.500
C  0.500  0.000  0.000
Te  0.000  0.500  0.000
Hg  0.500  0.500  0.500

Output
The formation energy from raw total energies is 2.591 eV per atom.

Entry 7:
NaY2HgC | PBE | optimized geometry

Cell lengths 4.856, 4.856, 5.003 Å; angles 90.00, 90.00, 90.00 degrees
Atoms (fractional coordinates):
Y  0.000  0.500  0.000
Y  0.500  0.000  0.000
Na  0.000  0.000  0.500
C  0.000  0.000  0.000
Hg  0.500  0.500  0.500

Output
Its formation energy is -0.0576 eV per atom.

Entry 8:
NbHg3C | PBE | optimized geometry

Cell lengths 4.595, 4.595, 4.595 Å; angles 90.00, 90.00, 90.00 degrees
Atoms (fractional coordinates):
C  0.000  0.000  0.000
Nb  0.500  0.500  0.500
Hg  0.000  0.500  0.000
Hg  0.000  0.000  0.500
Hg  0.500  0.000  0.000

Output
Its formation energy is 1.4908 eV per atom. For the relative energy among the computed polymorphs, the calculation gives 0 meV per atom.

Entry 9:
NbHg3C | PBE | optimized geometry

Cell lengths 5.725, 5.725, 5.725 Å; angles 90.00, 90.00, 90.00 degrees
Atoms (fractional coordinates):
C  0.500  0.500  0.500
Nb  0.000  0.000  0.000
Hg  0.000  0.500  0.000
Hg  0.000  0.000  0.500
Hg  0.500  0.000  0.000

Output
Its formation energy is 2.1290 eV per atom. For the relative energy among the computed polymorphs, the calculation gives 638 meV per atom.

Entry 10:
NbHg2C | PBE | optimized geometry

Cell lengths 8.313, 8.313, 6.276 Å; angles 48.53, 48.53, 90.00 degrees
Atoms (fractional coordinates):
C  0.500  0.500  0.000
C  0.250  0.750  0.500
Nb  0.000  0.000  0.000
Nb  0.750  0.250  0.500
Hg  0.523  0.125  0.250
Hg  0.227  0.625  0.250
Hg  0.375  0.477  0.750
Hg  0.875  0.773  0.750

Output
Its formation energy is 1.0577 eV per atom.

Entry 11:
NbHgCO2 | PBE | optimized geometry

Cell lengths 4.017, 4.180, 4.017 Å; angles 90.00, 90.00, 90.00 degrees
Atoms (fractional coordinates):
C  0.000  0.000  0.000
Nb  0.000  0.500  0.000
Hg  0.500  0.500  0.500
O  0.000  0.000  0.500
O  0.500  0.000  0.000

Output
The formation energy from raw total energies is 1.024 eV per atom.

Entry 12:
NbHgPd2C | PBE | optimized geometry

Cell lengths 4.871, 5.465, 4.871 Å; angles 90.00, 90.00, 90.00 degrees
Atoms (fractional coordinates):
C  0.500  0.500  0.500
Nb  0.000  0.000  0.000
Hg  0.000  0.500  0.000
Pd  0.000  0.000  0.500
Pd  0.500  0.000  0.000

Output
Its formation energy is 2.2732 eV per atom.